A relaxed structure of Mg2Cd4Ag, computed with PBE.

The structure in POSCAR format:
```
Mg2Cd4Ag
1.0
2.721 -5.409 0.000
2.721 5.409 0.000
0.000 0.000 10.581
Mg Cd Ag
4 8 2
direct
0.144 0.856 0.964
0.356 0.644 0.464
0.644 0.356 0.536
0.856 0.144 0.036
0.185 0.315 0.750
0.190 0.810 0.681
0.310 0.690 0.181
0.315 0.185 0.250
0.685 0.815 0.750
0.690 0.310 0.819
0.810 0.190 0.319
0.815 0.685 0.250
0.000 0.000 0.500
0.500 0.500 0.000
```

Calculated values
distance to the lowest polymorph of the same formula = 0.0 meV per atom
formation enthalpy at 0 K = -2 kJ/mol of atoms
space group = No. 64

A relaxed structure of Ac6In2IrN, computed with PBE.

The structure in POSCAR format:
```
Ac6In2IrN
1.0
0.000 5.594 5.594
5.594 0.000 5.594
5.594 5.594 0.000
Ac In Ir N
6 2 1 1
direct
0.239 0.239 0.761
0.239 0.761 0.239
0.239 0.761 0.761
0.761 0.239 0.239
0.761 0.239 0.761
0.761 0.761 0.239
0.250 0.250 0.250
0.750 0.750 0.750
0.500 0.500 0.500
0.000 0.000 0.000
```

Calculated values
space group = No. 225
DFT total energy = -52.12 eV per cell